# 1
VASP calculation (PBE-GGA) on an optimized crystal structure of Li4Ac2GeSb3.

Calculated values
The calculation puts the total energy at -40.96 eV for the cell shown. The energy relative to the elements, uncorrected comes out at -810.6 meV per atom. For the calculated density, the calculation gives 6.308 g/cm³.

a b c (Å): 4.6295 4.6295 11.2965
angles (deg): 90.00 90.00 90.00
Last column: nearest neighbours and their distance in Å.
Space group P-4m2 (No. 115)
One atom of each set of equivalent atoms:
Li  0.0000  0.0000  0.0000 [1 per cell]  4 Sb 2.85
Li  0.0000  0.5000  0.3815 [2 per cell]  3 Sb 2.65-2.67, 2 Ge 2.67
Li  0.5000  0.5000  0.0000 [1 per cell]  4 Sb 2.85
Ac  0.0000  0.5000  0.7329 [2 per cell]  2 Ge 3.50, 6 Sb 3.50-3.55, 8 Li 3.52-3.80
Ge  0.5000  0.5000  0.5000 [1 per cell]  4 Li 2.67
Sb  0.0000  0.0000  0.5000 [1 per cell]  4 Li 2.67
Sb  0.0000  0.5000  0.1465 [2 per cell]  5 Li 2.65-2.85

# 2
VASP calculation (PBE-GGA) on an optimized crystal structure of Li2AcGeSe4.

Calculated values
The calculation puts the total energy at -139.83 eV for the cell shown. The energy relative to the elements, uncorrected comes out at -1058.2 meV per atom. For the calculated density, the calculation gives 5.326 g/cm³.

a b c (Å): 7.9125 8.6380 11.4841
angles (deg): 90.00 90.00 90.00
Last column: nearest neighbours and their distance in Å.
Space group Imma (No. 74)
One atom of each set of equivalent atoms:
Li  0.0000  0.0000  0.0000 [4 per cell]  6 Se 2.69-2.82
Li  0.2500  0.2500  0.2500 [4 per cell]  6 Se 2.86-3.10
Ac  0.0000  0.0000  0.5000 [4 per cell]  6 Se 3.04-3.07
Ge  0.2500  0.2500  0.7500 [4 per cell]  6 Se 2.78-2.89
Se  0.0000  0.0247  0.7665 [8 per cell]  1 Li 2.69, 2 Ge 2.78
Se  0.2290  0.2500  0.0015 [8 per cell]  3 Li 2.82-2.86, 1 Ge 2.89, 2 Ac 3.04

# 3
VASP calculation (PBE-GGA) on an optimized crystal structure of LiAc2GeSe5.

Calculated values
The calculation puts the total energy at -179.56 eV for the cell shown. The energy relative to the elements, uncorrected comes out at -1413.4 meV per atom. For the calculated density, the calculation gives 6.388 g/cm³.

a b c (Å): 4.4113 18.1189 12.0773
angles (deg): 90.00 90.00 90.00
Last column: nearest neighbours and their distance in Å.
Space group Cmc2_1 (No. 36)
One atom of each set of equivalent atoms:
Li  0.0000  0.2145  0.0000 [4 per cell]  3 Se 2.60-2.81
Ac  0.0000  0.1226  0.6636 [4 per cell]  8 Se 3.12-3.43
Ac  0.0000  0.1317  0.2849 [4 per cell]  8 Se 3.09-3.46
Ge  0.0000  0.4339  0.4368 [4 per cell]  4 Se 2.48-2.51
Se  0.0000  0.0448  0.0302 [4 per cell]  2 Ge 2.51
Se  0.0000  0.2942  0.6442 [4 per cell]  2 Li 2.81, 3 Ac 3.09-3.12
Se  0.0000  0.3144  0.3359 [4 per cell]  1 Ge 2.48
Se  0.0000  0.3573  0.9792 [4 per cell]  1 Li 2.60
Se  0.0000  0.4994  0.2546 [4 per cell]  1 Ge 2.50

# 4
VASP calculation (PBE-GGA) on an optimized crystal structure of Li4Ac2SiGe3.

Calculated values
The calculation puts the total energy at -39.81 eV for the cell shown. The energy relative to the elements, uncorrected comes out at -466.8 meV per atom. For the calculated density, the calculation gives 5.807 g/cm³.

a b c (Å): 4.4448 4.4448 10.5334
angles (deg): 90.00 90.00 90.00
Last column: nearest neighbours and their distance in Å.
Space group P-4m2 (No. 115)
One atom of each set of equivalent atoms:
Li  0.0000  0.0000  0.0000 [1 per cell]  4 Ge 2.60
Li  0.0000  0.5000  0.3736 [2 per cell]  3 Ge 2.58-2.59, 2 Si 2.59
Li  0.5000  0.5000  0.0000 [1 per cell]  4 Ge 2.60
Ac  0.0000  0.5000  0.7503 [2 per cell]  6 Ge 3.39-3.45, 8 Li 3.40-3.44, 2 Si 3.45
Si  0.5000  0.5000  0.5000 [1 per cell]  4 Li 2.59
Ge  0.0000  0.0000  0.5000 [1 per cell]  4 Li 2.59
Ge  0.0000  0.5000  0.1287 [2 per cell]  5 Li 2.58-2.60

# 5
VASP calculation (PBE-GGA) on an optimized crystal structure of Li2AcSmGe2.

Calculated values
The calculation puts the total energy at -25.78 eV for the cell shown. The calculation puts the formation energy at -0.648 eV per atom. For the calculated density, the calculation gives 6.306 g/cm³.

a b c (Å): 4.5716 4.5716 7.8055
angles (deg): 90.00 90.00 120.00
Last column: nearest neighbours and their distance in Å.
Space group P-3m1 (No. 164)
One atom of each set of equivalent atoms:
Li  0.3333  0.6667  0.2011 [2 per cell]  3 Ge 2.65
Ac  0.0000  0.0000  0.5000 [1 per cell]  6 Ge 3.40, 6 Li 3.52
Sm  0.0000  0.0000  0.0000 [1 per cell]  6 Li 3.07, 6 Ge 3.18
Ge  0.3333  0.6667  0.7736 [2 per cell]  3 Li 2.65

# 6
VASP calculation (PBE-GGA) on an optimized crystal structure of Li3Ac2SnGe4.

Calculated values
The calculation puts the total energy at -41.74 eV for the cell shown. The calculation puts the formation energy at -0.531 eV per atom. For the calculated density, the calculation gives 6.637 g/cm³.

a b c (Å): 4.4837 4.4837 11.0030
angles (deg): 90.00 90.00 90.00
Last column: nearest neighbours and their distance in Å.
Space group P-4m2 (No. 115)
One atom of each set of equivalent atoms:
Li  0.0000  0.0000  0.0000 [1 per cell]  4 Ge 2.80
Li  0.0000  0.5000  0.6158 [2 per cell]  5 Ge 2.56-2.58
Ac  0.0000  0.5000  0.2688 [2 per cell]  8 Ge 3.39-3.42, 6 Li 3.42-3.71, 2 Sn 3.71
Sn  0.5000  0.5000  0.0000 [1 per cell]  4 Ge 2.80
Ge  0.0000  0.0000  0.5000 [1 per cell]  4 Li 2.58
Ge  0.0000  0.5000  0.8481 [2 per cell]  3 Li 2.56-2.80, 2 Sn 2.80
Ge  0.5000  0.5000  0.5000 [1 per cell]  4 Li 2.58

# 7
VASP calculation (PBE-GGA) on an optimized crystal structure of Li4Ac2Sn3Ge.

Calculated values
The calculation puts the total energy at -37.79 eV for the cell shown. The calculation puts the formation energy at -0.529 eV per atom. For the calculated density, the calculation gives 6.317 g/cm³.

a b c (Å): 4.6660 4.6660 10.9934
angles (deg): 90.00 90.00 90.00
Last column: nearest neighbours and their distance in Å.
Space group P-4m2 (No. 115)
One atom of each set of equivalent atoms:
Li  0.0000  0.0000  0.0000 [1 per cell]  4 Sn 2.73
Li  0.0000  0.5000  0.3747 [2 per cell]  3 Sn 2.70-2.71, 2 Ge 2.71
Li  0.5000  0.5000  0.0000 [1 per cell]  4 Sn 2.73
Ac  0.0000  0.5000  0.7489 [2 per cell]  6 Sn 3.56-3.60, 8 Li 3.57-3.61, 2 Ge 3.60
Sn  0.0000  0.0000  0.5000 [1 per cell]  4 Li 2.71
Sn  0.0000  0.5000  0.1291 [2 per cell]  5 Li 2.70-2.73
Ge  0.5000  0.5000  0.5000 [1 per cell]  4 Li 2.71

# 8
VASP calculation (PBE-GGA) on an optimized crystal structure of LiAcSnGe2.

Calculated values
The calculation puts the total energy at -43.34 eV for the cell shown. The calculation puts the formation energy at -0.482 eV per atom. For the calculated density, the calculation gives 6.830 g/cm³.

a b c (Å): 4.4157 4.4157 12.4175
angles (deg): 90.00 90.00 90.00
Last column: nearest neighbours and their distance in Å.
Space group I-4m2 (No. 119)
One atom of each set of equivalent atoms:
Li  0.0000  0.0000  0.0000 [2 per cell]  4 Ge 2.84, 4 Sn 3.12
Ac  0.0000  0.5000  0.7500 [2 per cell]  8 Ge 3.39
Sn  0.0000  0.0000  0.5000 [2 per cell]  4 Ge 2.84, 4 Li 3.12
Ge  0.0000  0.5000  0.1436 [4 per cell]  1 Ge 2.64, 2 Sn 2.84, 2 Li 2.84